1.
# PBE-GGA Dy4YPu3Se8, relaxed
data_Dy4YPu3Se8
_chemical_formula_sum 'Dy12 Y3 Pu9 Se24'
_cell_length_a 8.1787
_cell_length_b 8.1787
_cell_length_c 20.1971
_cell_angle_alpha 90.00
_cell_angle_beta 90.00
_cell_angle_gamma 120.00
_space_group_name_H-M_alt 'R -3 m'
_space_group_IT_number 166
_space_group_name_Hall '-R 3 2"'
loop_
_atom_site_label
_atom_site_type_symbol
_atom_site_fract_x
_atom_site_fract_y
_atom_site_fract_z
Dy1 Dy 0.0000 0.0000 0.0000
Dy2 Dy 0.0000 0.5000 0.0000
Y1 Y 0.0000 0.0000 0.5000
Pu1 Pu 0.0000 0.5000 0.5000
Se1 Se 0.0000 0.0000 0.2517
Se2 Se 0.0019 0.5009 0.2513
# Crystal system ... trigonal
# Density of states at the Fermi level ... 1.63 states/eV/atom
# Total magnetization ... 53.1 μB/cell
# Formation energy without anion corrections ... -163.79 kJ/mol of atoms

=====

2.
# PBE-GGA LaTb2Nd5Th, relaxed
data_LaTb2Nd5Th
_chemical_formula_sum 'La4 Tb8 Nd20 Th4'
_cell_length_a 5.763
_cell_length_b 20.427
_cell_length_c 10.655
_cell_angle_alpha 90.00
_cell_angle_beta 90.00
_cell_angle_gamma 90.00
_space_group_name_H-M_alt 'C m c 21'
_space_group_IT_number 36
loop_
_space_group_symop_operation_xyz
'x,y,z'
'-x,-y,z+1/2'
'-x,y,z'
'x,-y,z+1/2'
'x+1/2,y+1/2,z'
'-x+1/2,-y+1/2,z+1/2'
'-x+1/2,y+1/2,z'
'x+1/2,-y+1/2,z+1/2'
loop_
_atom_site_label
_atom_site_type_symbol
_atom_site_fract_x
_atom_site_fract_y
_atom_site_fract_z
La1 La 0.000 0.086 0.000
Tb1 Tb 0.000 0.384 0.872
Tb2 Tb 0.000 0.387 0.287
Nd1 Nd 0.000 0.022 0.293
Nd2 Nd 0.000 0.114 0.580
Nd3 Nd 0.000 0.208 0.256
Nd4 Nd 0.000 0.223 0.869
Nd5 Nd 0.000 0.484 0.578
Th1 Th 0.000 0.301 0.566
# Energy of formation from the pure elements ... 0.1570 eV per atom
# Crystal system ... orthorhombic
# Density of states at the Fermi level ... 1.44 states/eV/atom
# Total magnetization ... 0.0 μB/cell

=====

Q: Among the records above, which one has the lowest total magnetization?
A: LaTb2Nd5Th

=====

Q: Among the records above, which one has the lowest density of states at the Fermi level?
A: LaTb2Nd5Th